Below is a relaxed structure of Er3Tl3CdTe8, with properties calculated at the PBE level.

energy relative to the elements, uncorrected	-786	meV/atom
D(E_F)	21.08	states/eV per cell
total energy	-3.909	eV/atom

Cell and atoms, written as CIF:
```
data_Er3Tl3CdTe8
_cell_length_a 15.0701
_cell_length_b 8.6932
_cell_length_c 9.6093
_cell_angle_alpha 90.00
_cell_angle_beta 121.55
_cell_angle_gamma 90.00
_symmetry_space_group_name_H-M 'C 1 2/m 1'
_symmetry_Int_Tables_number 12
loop_
_symmetry_equiv_pos_as_xyz
'x,y,z'
'-x,-y,-z'
'-x,y,-z'
'x,-y,z'
'x+1/2,y+1/2,z'
'-x+1/2,-y+1/2,-z'
'-x+1/2,y+1/2,-z'
'x+1/2,-y+1/2,z'
loop_
_atom_site_label
_atom_site_type_symbol
_atom_site_fract_x
_atom_site_fract_y
_atom_site_fract_z
Er1 Er 0.0000 0.0000 0.0000
Er2 Er 0.2500 0.2500 0.0000
Tl1 Tl 0.0000 0.5000 0.5000
Tl2 Tl 0.2500 0.2500 0.5000
Cd1 Cd 0.0000 0.5000 0.0000
Te1 Te 0.0133 0.2469 0.7868
Te2 Te 0.2384 0.0000 0.2150
Te3 Te 0.2389 0.5000 0.2125
```

=====

Below is a relaxed structure of Er2Tl3CdTe6, with properties calculated at the PBE level.

energy relative to the elements, uncorrected	-748	meV/atom
D(E_F)	12.51	states/eV per cell
total energy	-3.747	eV/atom

Cell and atoms, written as CIF:
```
data_Er2Tl3CdTe6
_cell_length_a 7.6815
_cell_length_b 13.3413
_cell_length_c 8.3102
_cell_angle_alpha 90.00
_cell_angle_beta 107.97
_cell_angle_gamma 90.00
_symmetry_space_group_name_H-M 'C 1 2/m 1'
_symmetry_Int_Tables_number 12
loop_
_symmetry_equiv_pos_as_xyz
'x,y,z'
'-x,-y,-z'
'-x,y,-z'
'x,-y,z'
'x+1/2,y+1/2,z'
'-x+1/2,-y+1/2,-z'
'-x+1/2,y+1/2,-z'
'x+1/2,-y+1/2,z'
loop_
_atom_site_label
_atom_site_type_symbol
_atom_site_fract_x
_atom_site_fract_y
_atom_site_fract_z
Er1 Er 0.0000 0.1662 0.0000
Tl1 Tl 0.0000 0.0000 0.5000
Tl2 Tl 0.0000 0.3301 0.5000
Cd1 Cd 0.0000 0.5000 0.0000
Te1 Te 0.2377 0.0000 0.2161
Te2 Te 0.2387 0.3324 0.2150
```

=====

Below is a relaxed structure of ErThCd14, with properties calculated at the PBE level.

D(E_F)	7.71	states/eV per cell
total energy	-1.636	eV/atom

Cell and atoms, written as CIF:
```
data_ErThCd14
_cell_length_a 6.6546
_cell_length_b 6.6546
_cell_length_c 8.5145
_cell_angle_alpha 90.00
_cell_angle_beta 90.00
_cell_angle_gamma 90.00
_symmetry_space_group_name_H-M 'P 4/m m m'
_symmetry_Int_Tables_number 123
_symmetry_space_group_name_Hall '-P 4 2'
loop_
_atom_site_label
_atom_site_type_symbol
_atom_site_fract_x
_atom_site_fract_y
_atom_site_fract_z
Er1 Er 0.0000 0.0000 0.0000
Th1 Th 0.5000 0.5000 0.0000
Cd1 Cd 0.0000 0.0000 0.5000
Cd2 Cd 0.0000 0.5000 0.0000
Cd3 Cd 0.0000 0.5000 0.5000
Cd4 Cd 0.2450 0.2450 0.2612
Cd5 Cd 0.5000 0.5000 0.5000
```

=====

Below is a relaxed structure of Er5ThCd4, with properties calculated at the PBE level.

D(E_F)	8.93	states/eV per cell
total energy	-3.642	eV/atom

Cell and atoms, written as CIF:
```
data_Er5ThCd4
_cell_length_a 3.6681
_cell_length_b 3.6681
_cell_length_c 19.8462
_cell_angle_alpha 90.00
_cell_angle_beta 90.00
_cell_angle_gamma 90.00
_symmetry_space_group_name_H-M 'P 4/m m m'
_symmetry_Int_Tables_number 123
_symmetry_space_group_name_Hall '-P 4 2'
loop_
_atom_site_label
_atom_site_type_symbol
_atom_site_fract_x
_atom_site_fract_y
_atom_site_fract_z
Er1 Er 0.0000 0.0000 0.0000
Er2 Er 0.0000 0.0000 0.1890
Er3 Er 0.0000 0.0000 0.3821
Th1 Th 0.5000 0.5000 0.5000
Cd1 Cd 0.5000 0.5000 0.0953
Cd2 Cd 0.5000 0.5000 0.2852
```

=====

Below is a relaxed structure of Er5ThCd3, with properties calculated at the PBE level.

D(E_F)	22.47	states/eV per cell
total energy	-3.797	eV/atom

Cell and atoms, written as CIF:
```
data_Er5ThCd3
_cell_length_a 9.2204
_cell_length_b 9.2204
_cell_length_c 6.7936
_cell_angle_alpha 90.00
_cell_angle_beta 90.00
_cell_angle_gamma 120.00
_symmetry_space_group_name_H-M 'P 63/m c m'
_symmetry_Int_Tables_number 193
_symmetry_space_group_name_Hall '-P 6c 2'
loop_
_atom_site_label
_atom_site_type_symbol
_atom_site_fract_x
_atom_site_fract_y
_atom_site_fract_z
Er1 Er 0.0000 0.3306 0.2500
Er2 Er 0.3333 0.6667 0.0000
Th1 Th 0.0000 0.0000 0.0000
Cd1 Cd 0.0000 0.3423 0.7500
```

=====

Below is a relaxed structure of ErTh2Cd6, with properties calculated at the PBE level.

D(E_F)	5.95	states/eV per cell
total energy	-2.984	eV/atom

Cell and atoms, written as CIF:
```
data_ErTh2Cd6
_cell_length_a 8.8030
_cell_length_b 8.8030
_cell_length_c 3.3827
_cell_angle_alpha 90.00
_cell_angle_beta 90.00
_cell_angle_gamma 120.00
_symmetry_space_group_name_H-M 'P 6/m m m'
_symmetry_Int_Tables_number 191
_symmetry_space_group_name_Hall '-P 6 2'
loop_
_atom_site_label
_atom_site_type_symbol
_atom_site_fract_x
_atom_site_fract_y
_atom_site_fract_z
Er1 Er 0.0000 0.0000 0.0000
Th1 Th 0.3333 0.6667 0.0000
Cd1 Cd 0.0000 0.3284 0.5000
```

=====

Below is a relaxed structure of Er4ThCd, with properties calculated at the PBE level.

D(E_F)	7.16	states/eV per cell
total energy	-4.515	eV/atom

Cell and atoms, written as CIF:
```
data_Er4ThCd
_cell_length_a 3.5480
_cell_length_b 3.5480
_cell_length_c 14.0473
_cell_angle_alpha 90.00
_cell_angle_beta 90.00
_cell_angle_gamma 90.00
_symmetry_space_group_name_H-M 'P 4/m m m'
_symmetry_Int_Tables_number 123
_symmetry_space_group_name_Hall '-P 4 2'
loop_
_atom_site_label
_atom_site_type_symbol
_atom_site_fract_x
_atom_site_fract_y
_atom_site_fract_z
Er1 Er 0.0000 0.0000 0.1461
Er2 Er 0.5000 0.5000 0.3262
Th1 Th 0.0000 0.0000 0.5000
Cd1 Cd 0.5000 0.5000 0.0000
```

=====

Below is a relaxed structure of ErTh2Cd4, with properties calculated at the PBE level.

D(E_F)	15.62	states/eV per cell
total energy	-3.301	eV/atom

Cell and atoms, written as CIF:
```
data_ErTh2Cd4
_cell_length_a 5.1472
_cell_length_b 5.1472
_cell_length_c 15.2206
_cell_angle_alpha 90.00
_cell_angle_beta 90.00
_cell_angle_gamma 90.00
_symmetry_space_group_name_H-M 'I 4/m m m'
_symmetry_Int_Tables_number 139
_symmetry_space_group_name_Hall '-I 4 2'
loop_
_atom_site_label
_atom_site_type_symbol
_atom_site_fract_x
_atom_site_fract_y
_atom_site_fract_z
Er1 Er 0.0000 0.0000 0.0000
Th1 Th 0.0000 0.0000 0.2548
Cd1 Cd 0.0000 0.5000 0.1069
```

=====

Below is a relaxed structure of Er5Th4Cd, with properties calculated at the PBE level.

D(E_F)	10.39	states/eV per cell
total energy	-5.385	eV/atom

Cell and atoms, written as CIF:
```
data_Er5Th4Cd
_cell_length_a 3.5701
_cell_length_b 3.5701
_cell_length_c 23.7531
_cell_angle_alpha 90.00
_cell_angle_beta 90.00
_cell_angle_gamma 90.00
_symmetry_space_group_name_H-M 'P 4/m m m'
_symmetry_Int_Tables_number 123
_symmetry_space_group_name_Hall '-P 4 2'
loop_
_atom_site_label
_atom_site_type_symbol
_atom_site_fract_x
_atom_site_fract_y
_atom_site_fract_z
Er1 Er 0.0000 0.0000 0.0000
Er2 Er 0.0000 0.0000 0.2087
Er3 Er 0.0000 0.0000 0.4147
Th1 Th 0.5000 0.5000 0.1042
Th2 Th 0.5000 0.5000 0.3132
Cd1 Cd 0.5000 0.5000 0.5000
```

=====

Below is a relaxed structure of ErTh3Cd7, with properties calculated at the PBE level.

D(E_F)	33.28	states/eV per cell
total energy	-3.089	eV/atom

Cell and atoms, written as CIF:
```
data_ErTh3Cd7
_cell_length_a 3.3750
_cell_length_b 22.3818
_cell_length_c 15.5242
_cell_angle_alpha 90.00
_cell_angle_beta 90.00
_cell_angle_gamma 90.00
_symmetry_space_group_name_H-M 'C m c m'
_symmetry_Int_Tables_number 63
_symmetry_space_group_name_Hall '-C 2c 2'
loop_
_atom_site_label
_atom_site_type_symbol
_atom_site_fract_x
_atom_site_fract_y
_atom_site_fract_z
Er1 Er 0.0000 0.0248 0.2500
Th1 Th 0.0000 0.1175 0.5453
Th2 Th 0.0000 0.2532 0.2500
Cd1 Cd 0.0000 0.2633 0.5710
Cd2 Cd 0.0000 0.3714 0.6568
Cd3 Cd 0.0000 0.4005 0.2500
Cd4 Cd 0.0000 0.4911 0.5875
```